# 1
Te2PIr after structural relaxation, computed with PBE-GGA.

Calculated values
formation energy without anion corrections	0.794	eV per atom
ρ	9.9	g cm⁻³
crystal system	cubic
E_tot	-4.344	eV/atom

abc: 6.851 6.851 6.851
angles: 90.00 90.00 90.00
Space group F-43m (No. 216)
Inequivalent atoms, fractional coordinates:
Te 0.000 0.000 0.000 (multiplicity 4)
Te 0.250 0.250 0.250 (multiplicity 4)
P 0.250 0.250 0.750 (multiplicity 4)
Ir 0.000 0.000 0.500 (multiplicity 4)

---

# 2
TeP4Ir after structural relaxation, computed with PBE-GGA.

Calculated values
formation energy without anion corrections	1.010	eV per atom
ρ	7.2	g cm⁻³
crystal system	cubic
E_tot	-4.597	eV/atom

abc: 7.434 7.434 7.434
angles: 90.00 90.00 90.00
Space group F-43m (No. 216)
Inequivalent atoms, fractional coordinates:
Te 0.000 0.000 0.000 (multiplicity 4)
P 0.113 0.113 0.613 (multiplicity 16)
Ir 0.250 0.250 0.250 (multiplicity 4)

---

# 3
TePIr2 after structural relaxation, computed with PBE-GGA.

Calculated values
formation energy without anion corrections	0.486	eV per atom
ρ	13.6	g cm⁻³
crystal system	cubic
E_tot	-6.083	eV/atom

abc: 6.431 6.431 6.431
angles: 90.00 90.00 90.00
Space group Fm-3m (No. 225)
Inequivalent atoms, fractional coordinates:
Te 0.000 0.000 0.000 (multiplicity 4)
P 0.000 0.000 0.500 (multiplicity 4)
Ir 0.250 0.250 0.250 (multiplicity 8)

---

# 4
Te2PIr2 after structural relaxation, computed with PBE-GGA.

Calculated values
formation energy without anion corrections	0.496	eV per atom
ρ	11.5	g cm⁻³
crystal system	tetragonal
E_tot	-5.387	eV/atom

abc: 7.216 7.216 3.718
angles: 90.00 90.00 90.00
Space group P4/mbm (No. 127)
Inequivalent atoms, fractional coordinates:
Te 0.165 0.335 0.000 (multiplicity 4)
P 0.000 0.000 0.500 (multiplicity 2)
Ir 0.136 0.636 0.500 (multiplicity 4)

---

# 5
TePIr2 after structural relaxation, computed with PBE-GGA.

Calculated values
formation energy without anion corrections	0.652	eV per atom
ρ	13.5	g cm⁻³
crystal system	orthorhombic
E_tot	-5.916	eV/atom

abc: 2.927 4.616 4.946
angles: 90.00 90.00 90.00
Space group Pmmm (No. 47)
Inequivalent atoms, fractional coordinates:
Te 0.000 0.000 0.000 (multiplicity 1)
P 0.500 0.000 0.500 (multiplicity 1)
Ir 0.000 0.500 0.500 (multiplicity 1)
Ir 0.500 0.500 0.000 (multiplicity 1)

---

# 6
TePIr after structural relaxation, computed with PBE-GGA.

Calculated values
formation energy without anion corrections	-0.452	eV per atom
ρ	9.9	g cm⁻³
crystal system	orthorhombic
E_tot	-6.256	eV/atom

abc: 3.877 4.969 6.098
angles: 90.00 90.00 90.00
Space group Pmn2_1 (No. 31)
Inequivalent atoms, fractional coordinates:
Te 0.000 0.048 0.000 (multiplicity 2)
P 0.000 0.467 0.751 (multiplicity 2)
Ir 0.000 0.286 0.387 (multiplicity 2)

---

# 7
TePIr2 after structural relaxation, computed with PBE-GGA.

Calculated values
formation energy without anion corrections	0.646	eV per atom
ρ	13.4	g cm⁻³
crystal system	monoclinic
E_tot	-5.923	eV/atom

abc: 5.710 9.192 2.978
angles: 90.00 120.83 90.00
Space group C2/m (No. 12)
Inequivalent atoms, fractional coordinates:
Te 0.000 0.000 0.000 (multiplicity 2)
P 0.000 0.500 0.000 (multiplicity 2)
Ir 0.250 0.250 0.500 (multiplicity 4)

---

# 8
TePIr2 after structural relaxation, computed with PBE-GGA.

Calculated values
formation energy without anion corrections	0.410	eV per atom
ρ	13.3	g cm⁻³
crystal system	orthorhombic
E_tot	-6.158	eV/atom

abc: 3.109 4.671 9.337
angles: 90.00 90.00 90.00
Space group Imm2 (No. 44)
Inequivalent atoms, fractional coordinates:
Te 0.000 0.000 0.000 (multiplicity 2)
P 0.000 0.500 0.769 (multiplicity 2)
Ir 0.000 0.000 0.459 (multiplicity 2)
Ir 0.000 0.500 0.252 (multiplicity 2)

---

# 9
TePIr after structural relaxation, computed with PBE-GGA.

Calculated values
formation energy without anion corrections	0.132	eV per atom
ρ	9.5	g cm⁻³
crystal system	tetragonal
E_tot	-5.672	eV/atom

abc: 2.984 2.984 13.787
angles: 90.00 90.00 90.00
Space group I4mm (No. 107)
Inequivalent atoms, fractional coordinates:
Te 0.000 0.000 0.000 (multiplicity 2)
P 0.000 0.000 0.270 (multiplicity 2)
Ir 0.000 0.000 0.681 (multiplicity 2)

---

# 10
Te2P2Ir after structural relaxation, computed with PBE-GGA.

Calculated values
formation energy without anion corrections	0.354	eV per atom
ρ	7.9	g cm⁻³
crystal system	tetragonal
E_tot	-4.838	eV/atom

abc: 3.312 3.312 19.509
angles: 90.00 90.00 90.00
Space group I4/mmm (No. 139)
Inequivalent atoms, fractional coordinates:
Te 0.000 0.000 0.084 (multiplicity 4)
P 0.000 0.500 0.250 (multiplicity 4)
Ir 0.000 0.000 0.500 (multiplicity 2)

---

# 11
TePIr2 after structural relaxation, computed with PBE-GGA.

Calculated values
formation energy without anion corrections	0.196	eV per atom
ρ	12.1	g cm⁻³
crystal system	tetragonal
E_tot	-6.372	eV/atom

abc: 3.068 3.068 7.895
angles: 90.00 90.00 90.00
Space group P4mm (No. 99)
Inequivalent atoms, fractional coordinates:
Te 0.000 0.000 0.000 (multiplicity 1)
P 0.500 0.500 0.609 (multiplicity 1)
Ir 0.000 0.000 0.467 (multiplicity 1)
Ir 0.500 0.500 0.200 (multiplicity 1)

---

# 12
Te2PIr after structural relaxation, computed with PBE-GGA.

Calculated values
formation energy without anion corrections	0.208	eV per atom
ρ	8.3	g cm⁻³
crystal system	orthorhombic
E_tot	-4.931	eV/atom

abc: 3.680 3.907 13.270
angles: 90.00 90.00 90.00
Space group Immm (No. 71)
Inequivalent atoms, fractional coordinates:
Te 0.000 0.000 0.151 (multiplicity 4)
P 0.000 0.500 0.000 (multiplicity 2)
Ir 0.000 0.500 0.500 (multiplicity 2)

---

Question: Look up the ρ of the fifth one.
Answer: 13.5 g cm⁻³